1.
First-principles (GGA-PBE) data for a relaxed structure of Pm2Mg3In, as listed in the Alexandria database. Values from VASP.

Properties
E_form in eV/atom: -0.21
Uncorrected energy in eV/atom: -3.0505
Space-group type: Pmm2 (25)

```
&SYSTEM
  ibrav = 0, nat = 6, ntyp = 3
/
ATOMIC_SPECIES
Mg 24.30 Mg.upf
In 114.82 In.upf
Pm 145.00 Pm.upf
ATOMIC_POSITIONS crystal
Mg 0.500 0.000 0.831
Mg 0.500 0.500 0.670
Mg 0.500 0.000 0.163
In 0.500 0.500 0.336
Pm 0.000 0.500 0.006
Pm 0.000 0.000 0.494
CELL_PARAMETERS angstrom
3.483 0.000 0.000
0.000 5.182 0.000
0.000 0.000 8.967
```



2.
First-principles (GGA-PBE) data for a relaxed structure of Pm2Mg3In, as listed in the Alexandria database. Values from VASP.

Properties
E_form in eV/atom: -0.22
Uncorrected energy in eV/atom: -3.0606
Space-group type: Fmmm (69)

```
&SYSTEM
  ibrav = 0, nat = 12, ntyp = 3
/
ATOMIC_SPECIES
Mg 24.30 Mg.upf
Pm 145.00 Pm.upf
In 114.82 In.upf
ATOMIC_POSITIONS crystal
Mg 0.336 0.831 0.166
Mg 0.169 0.664 0.834
Mg 0.831 0.336 0.166
Mg 0.167 0.167 0.335
Mg 0.664 0.169 0.834
Mg 0.833 0.833 0.665
Pm 0.750 0.250 0.500
Pm 0.751 0.751 0.000
Pm 0.249 0.249 0.000
Pm 0.250 0.750 0.500
In 0.334 0.334 0.668
In 0.666 0.666 0.332
CELL_PARAMETERS angstrom
6.093 -0.166 -1.320
-2.547 5.538 -1.320
0.096 0.145 9.592
```



3.
First-principles (GGA-PBE) data for a relaxed structure of PmMg4In, as listed in the Alexandria database. Values from VASP.

Properties
E_form in eV/atom: -0.02
Uncorrected energy in eV/atom: -2.3359
Space-group type: F-43m (216)

```
&SYSTEM
  ibrav = 0, nat = 6, ntyp = 3
/
ATOMIC_SPECIES
Mg 24.30 Mg.upf
In 114.82 In.upf
Pm 145.00 Pm.upf
ATOMIC_POSITIONS crystal
Mg 0.625 0.125 0.625
Mg 0.625 0.625 0.625
Mg 0.125 0.625 0.625
Mg 0.625 0.625 0.125
In 0.000 0.000 0.000
Pm 0.250 0.250 0.250
CELL_PARAMETERS angstrom
6.015 0.000 0.000
3.008 5.210 0.000
3.008 1.737 4.912
```



4.
First-principles (GGA-PBE) data for a relaxed structure of Pm2Mg4In, as listed in the Alexandria database. Values from VASP.

Properties
E_form in eV/atom: -0.03
Uncorrected energy in eV/atom: -2.6887
Space-group type: Cmce (64)

```
&SYSTEM
  ibrav = 0, nat = 14, ntyp = 3
/
ATOMIC_SPECIES
Mg 24.30 Mg.upf
Pm 145.00 Pm.upf
In 114.82 In.upf
ATOMIC_POSITIONS crystal
Mg 0.250 0.838 0.500
Mg 0.240 0.809 0.000
Mg 0.740 0.691 0.000
Mg 0.750 0.662 0.500
Mg 0.250 0.338 0.500
Mg 0.750 0.162 0.500
Mg 0.760 0.191 0.000
Mg 0.260 0.309 0.000
Pm 0.500 0.845 0.691
Pm 0.000 0.655 0.309
Pm 0.500 0.155 0.309
Pm 0.000 0.345 0.691
In 0.500 0.500 0.000
In 0.000 0.000 0.000
CELL_PARAMETERS angstrom
-6.644 -8.109 -5.406
4.925 -2.966 -1.604
-2.689 -1.309 5.268
```



5.
First-principles (GGA-PBE) data for a relaxed structure of Pm3Mg7In2, as listed in the Alexandria database. Values from VASP.

Properties
E_form in eV/atom: -0.15
Uncorrected energy in eV/atom: -2.7272
Space-group type: R-3m (166)

```
&SYSTEM
  ibrav = 0, nat = 12, ntyp = 3
/
ATOMIC_SPECIES
Mg 24.30 Mg.upf
Pm 145.00 Pm.upf
In 114.82 In.upf
ATOMIC_POSITIONS crystal
Mg 0.078 0.585 0.751
Mg 0.585 0.585 0.751
Mg 0.415 0.922 0.249
Mg 0.922 0.415 0.249
Mg 0.415 0.415 0.249
Mg 0.500 0.500 0.500
Mg 0.585 0.078 0.751
Pm 0.856 0.856 0.433
Pm 0.144 0.144 0.567
Pm 0.000 0.000 0.000
In 0.666 0.666 0.003
In 0.334 0.334 0.997
CELL_PARAMETERS angstrom
6.105 0.000 0.000
3.053 5.287 0.000
3.053 1.762 9.727
```



6.
First-principles (GGA-PBE) data for a relaxed structure of PmMgIn, as listed in the Alexandria database. Values from VASP.

Properties
E_form in eV/atom: -0.33
Uncorrected energy in eV/atom: -3.3534
Space-group type: Cmmm (65)

```
&SYSTEM
  ibrav = 0, nat = 6, ntyp = 3
/
ATOMIC_SPECIES
Mg 24.30 Mg.upf
In 114.82 In.upf
Pm 145.00 Pm.upf
ATOMIC_POSITIONS crystal
Mg 0.000 0.000 0.000
Mg 0.500 0.500 0.000
In 0.500 0.150 0.299
In 0.500 0.850 0.701
Pm 0.000 0.335 0.671
Pm 0.000 0.665 0.329
CELL_PARAMETERS angstrom
-3.903 0.482 -2.027
-2.235 -1.172 4.024
0.959 7.910 0.033
```



7.
First-principles (GGA-PBE) data for a relaxed structure of Pm7Mg2In2, as listed in the Alexandria database. Values from VASP.

Properties
E_form in eV/atom: 0.11
Uncorrected energy in eV/atom: -3.7041
Space-group type: Cmmm (65)

```
&SYSTEM
  ibrav = 0, nat = 11, ntyp = 3
/
ATOMIC_SPECIES
Pm 145.00 Pm.upf
In 114.82 In.upf
Mg 24.30 Mg.upf
ATOMIC_POSITIONS crystal
Pm 0.500 0.760 0.500
Pm 0.500 0.701 0.000
Pm 0.000 0.000 0.000
Pm 0.000 0.701 0.500
Pm 0.000 0.299 0.500
Pm 0.500 0.240 0.500
Pm 0.500 0.299 0.000
In 0.194 0.500 0.194
In 0.806 0.500 0.806
Mg 0.284 0.000 0.716
Mg 0.716 0.000 0.284
CELL_PARAMETERS angstrom
-0.422 -5.481 -4.004
-0.867 -5.045 6.999
-5.983 2.930 1.371
```



8.
First-principles (GGA-PBE) data for a relaxed structure of Pm4MgIn2, as listed in the Alexandria database. Values from VASP.

Properties
E_form in eV/atom: -0.26
Uncorrected energy in eV/atom: -3.9864
Space-group type: R-3m (166)

```
&SYSTEM
  ibrav = 0, nat = 7, ntyp = 3
/
ATOMIC_SPECIES
Pm 145.00 Pm.upf
In 114.82 In.upf
Mg 24.30 Mg.upf
ATOMIC_POSITIONS crystal
Pm 0.132 0.132 0.605
Pm 0.385 0.385 0.845
Pm 0.615 0.615 0.155
Pm 0.868 0.868 0.395
In 0.743 0.743 0.771
In 0.257 0.257 0.229
Mg 0.000 0.000 0.000
CELL_PARAMETERS angstrom
-3.850 2.483 2.825
-1.517 -1.957 4.779
4.170 5.011 6.406
```



Q: Look up the E_form of the sixth one.
A: -0.33 eV/atom



Q: Among the records above, which one has the highest uncorrected energy?
A: PmMg4In



Q: Which value of uncorrected energy does entry 3 give?
A: -2.3359 eV/atom



Please write out number 8 again, unchanged.
First-principles (GGA-PBE) data for a relaxed structure of Pm4MgIn2, as listed in the Alexandria database. Values from VASP.

Properties
E_form in eV/atom: -0.26
Uncorrected energy in eV/atom: -3.9864
Space-group type: R-3m (166)

```
&SYSTEM
  ibrav = 0, nat = 7, ntyp = 3
/
ATOMIC_SPECIES
Pm 145.00 Pm.upf
In 114.82 In.upf
Mg 24.30 Mg.upf
ATOMIC_POSITIONS crystal
Pm 0.132 0.132 0.605
Pm 0.385 0.385 0.845
Pm 0.615 0.615 0.155
Pm 0.868 0.868 0.395
In 0.743 0.743 0.771
In 0.257 0.257 0.229
Mg 0.000 0.000 0.000
CELL_PARAMETERS angstrom
-3.850 2.483 2.825
-1.517 -1.957 4.779
4.170 5.011 6.406
```